The following is a DFT calculation (PBE) of a relaxed structure of LaNbBi2O8.

```
LaNbBi2O8
1.0
3.597 -3.658 0.000
3.597 3.658 0.000
0.000 0.000 7.046
La Nb Bi O
1 1 2 8
Direct
0.000 0.000 0.000
0.000 0.000 0.500
0.500 0.500 0.259
0.500 0.500 0.741
0.186 0.186 0.288
0.186 0.186 0.712
0.286 0.714 0.500
0.323 0.677 0.000
0.677 0.323 0.000
0.714 0.286 0.500
0.814 0.814 0.288
0.814 0.814 0.712
```

Output
- Electronic total energy: -85.838 eV/f.u.
- Total moment: 0.00 μB/cell
- SG: Cmmm
- Formation energy from raw total energies: -1.95 eV/atom